! PBE+U LiNbCoO4, relaxed; values from VASP
! density	4.5	Mg/m³
! space group	Pnna
! D(E_F)	0.000	states/eV per atom
! VASP energy	-7.30	eV/atom
&SYSTEM
  ibrav = 0, nat = 28, ntyp = 4
/
ATOMIC_SPECIES
Li 6.94 Li.upf
Nb 92.91 Nb.upf
Co 58.93 Co.upf
O 16.00 O.upf
CELL_PARAMETERS angstrom
-4.072 4.035 -1.945
-4.599 -3.401 2.573
0.862 4.452 7.426
ATOMIC_POSITIONS crystal
Li 0.000 0.250 0.146
Li 0.500 0.750 0.646
Li 0.000 0.750 0.854
Li 0.500 0.250 0.354
Nb 0.958 0.500 0.500
Nb 0.542 0.000 0.000
Nb 0.042 0.000 0.500
Nb 0.458 0.500 0.000
Co 0.750 0.250 0.750
Co 0.750 0.750 0.250
Co 0.250 0.750 0.250
Co 0.250 0.250 0.750
O 0.013 0.522 0.276
O 0.487 0.022 0.776
O 0.987 0.978 0.276
O 0.513 0.478 0.776
O 0.987 0.022 0.724
O 0.513 0.522 0.224
O 0.013 0.478 0.724
O 0.487 0.978 0.224
O 0.226 0.751 0.505
O 0.726 0.249 0.005
O 0.773 0.749 0.505
O 0.273 0.251 0.005
O 0.774 0.251 0.495
O 0.273 0.749 0.995
O 0.227 0.249 0.495
O 0.727 0.751 0.995